No. 1
NbCoSiIr: optimized geometry, PBE-GGA.

a b c (Å): 6.089 6.089 6.089
angles (deg): 90.00 90.00 90.00
Space group F-43m (No. 216)
One atom of each set of equivalent atoms:
Nb 0.000 0.000 0.000 [4 per cell]
Co 0.250 0.250 0.750 [4 per cell]
Si 0.000 0.000 0.500 [4 per cell]
Ir 0.250 0.250 0.250 [4 per cell]

Total energy in eV per atom: -8.147
Polymorph energy (0 for the lowest one) in meV/atom: 0

***

No. 2
Nb2CoSn2Ir: optimized geometry, PBE-GGA.

a b c (Å): 7.490 4.315 14.319
angles (deg): 90.00 99.85 90.00
Space group Pm (No. 6)
One atom of each set of equivalent atoms:
Nb 0.000 0.000 0.000 [1 per cell]
Nb 0.002 0.500 0.492 [1 per cell]
Nb 0.242 0.000 0.740 [1 per cell]
Nb 0.245 0.500 0.243 [1 per cell]
Nb 0.490 0.000 0.489 [1 per cell]
Nb 0.499 0.500 0.000 [1 per cell]
Nb 0.746 0.000 0.240 [1 per cell]
Nb 0.752 0.500 0.741 [1 per cell]
Co 0.059 0.500 0.678 [1 per cell]
Co 0.060 0.000 0.182 [1 per cell]
Co 0.306 0.500 0.428 [1 per cell]
Co 0.559 0.500 0.181 [1 per cell]
Sn 0.121 0.500 0.862 [1 per cell]
Sn 0.129 0.000 0.365 [1 per cell]
Sn 0.360 0.500 0.612 [1 per cell]
Sn 0.374 0.000 0.126 [1 per cell]
Sn 0.610 0.500 0.363 [1 per cell]
Sn 0.622 0.000 0.868 [1 per cell]
Sn 0.875 0.500 0.126 [1 per cell]
Sn 0.882 0.000 0.619 [1 per cell]
Ir 0.309 0.000 0.934 [1 per cell]
Ir 0.559 0.000 0.677 [1 per cell]
Ir 0.809 0.000 0.428 [1 per cell]
Ir 0.812 0.500 0.934 [1 per cell]

Total energy in eV per atom: -7.768

***

No. 3
NbTlCoIr: optimized geometry, PBE-GGA.

a b c (Å): 6.427 6.427 6.427
angles (deg): 90.00 90.00 90.00
Space group F-43m (No. 216)
One atom of each set of equivalent atoms:
Nb 0.000 0.000 0.000 [4 per cell]
Tl 0.250 0.250 0.250 [4 per cell]
Co 0.000 0.000 0.500 [4 per cell]
Ir 0.250 0.250 0.750 [4 per cell]

Total energy in eV per atom: -6.695
Polymorph energy (0 for the lowest one) in meV/atom: 281

***

No. 4
NbTlCoIr: optimized geometry, PBE-GGA.

a b c (Å): 6.403 6.403 6.403
angles (deg): 90.00 90.00 90.00
Space group F-43m (No. 216)
One atom of each set of equivalent atoms:
Nb 0.000 0.000 0.000 [4 per cell]
Tl 0.000 0.000 0.500 [4 per cell]
Co 0.250 0.250 0.750 [4 per cell]
Ir 0.250 0.250 0.250 [4 per cell]

Total energy in eV per atom: -6.976
Polymorph energy (0 for the lowest one) in meV/atom: 0

***

No. 5
NdCoIr: optimized geometry, PBE-GGA.

a b c (Å): 6.353 6.353 6.353
angles (deg): 90.00 90.00 90.00
Space group F-43m (No. 216)
One atom of each set of equivalent atoms:
Nd 0.000 0.000 0.000 [4 per cell]
Co 0.000 0.000 0.500 [4 per cell]
Ir 0.250 0.250 0.250 [4 per cell]

E_form in eV/atom: 0.24
Total energy in eV per atom: -6.670